Record 1
Below is a relaxed K2MgHg3Pb4 crystal, with properties calculated at the GGA-PBE level.

Lattice parameters (Å, degrees): 4.9019 4.9019 13.4918 90.00 90.00 90.00
Closest atoms and distances in Å follow each position.
Fractional coordinates of all 10 atoms:
Pb  0.0000  0.0000  0.0000  4 Hg 3.17, 4 Pb 3.47
Pb  0.5000  0.5000  0.0000  4 Hg 3.17, 4 Pb 3.47
Pb  0.0000  0.5000  0.3676  3 Hg 2.94-3.03, 2 Mg 3.03
Pb  0.5000  0.0000  0.6324  3 Hg 2.94-3.03, 2 Mg 3.03
Hg  0.0000  0.0000  0.5000  4 Pb 3.03
Hg  0.5000  0.0000  0.8505  5 Pb 2.94-3.17
Hg  0.0000  0.5000  0.1495  5 Pb 2.94-3.17
K  0.0000  0.5000  0.7496  6 Hg 3.72-4.16, 4 Pb 3.81, 2 Mg 4.16
K  0.5000  0.0000  0.2504  6 Hg 3.72-4.16, 4 Pb 3.81, 2 Mg 4.16
Mg  0.5000  0.5000  0.5000  4 Pb 3.03

Computed properties:
The total energy comes out at -20.74 eV per cell. Its space group is P-4m2 (115).



Record 2
Below is a relaxed Tb2InPd crystal, with properties calculated at the GGA-PBE level.

Lattice parameters (Å, degrees): 3.8127 3.8127 8.8484 77.56 77.56 60.00
Closest atoms and distances in Å follow each position.
Fractional coordinates of all 4 atoms:
Tb  0.2621  0.2621  0.2136  3 Pd 2.86
Tb  0.7379  0.7379  0.7864  3 Pd 2.86
Pd  0.0000  0.0000  0.0000  6 Tb 2.86
In  0.5000  0.5000  0.5000  6 Tb 3.30

Computed properties:
Its space group is R-3m (166). For the energy above the most stable polymorph in this dataset, the calculation gives 174.0 meV/atom.



Record 3
Below is a relaxed CaAgAu crystal, with properties calculated at the GGA-PBE level.

Lattice parameters (Å, degrees): 4.2613 3.6840 9.0286 101.77 90.00 90.00
Closest atoms and distances in Å follow each position.
Fractional coordinates of all 6 atoms:
Ag  0.2500  0.7139  0.4277  1 Au 2.87, 1 Ca 3.08, 4 Ag 3.09
Ag  0.7500  0.2861  0.5723  1 Au 2.87, 1 Ca 3.08, 4 Ag 3.09
Au  0.2500  0.5514  0.1029  2 Au 2.80, 1 Ag 2.87, 4 Ca 3.01
Au  0.7500  0.4486  0.8971  2 Au 2.80, 1 Ag 2.87, 4 Ca 3.01
Ca  0.7500  0.1117  0.2234  4 Au 3.01, 5 Ag 3.08-3.35
Ca  0.2500  0.8883  0.7766  4 Au 3.01, 5 Ag 3.08-3.35

Computed properties:
Its space group is Cmcm (63). For the energy above the most stable polymorph in this dataset, the calculation gives 0.6 meV/atom.